Computed, not measured: a geometry-optimized Mg2NiBRu structure at the PBE level of DFT.

Unit cell a=4.6187 b=4.6187 c=3.6852 alpha=90.00 beta=90.00 gamma=90.00
Space group P4/mmm (No. 123)
One atom of each set of equivalent atoms:
Mg1 0.0000 0.5000 0.0000
Ni1 0.0000 0.0000 0.0000
B1 0.0000 0.0000 0.5000
Ru1 0.5000 0.5000 0.5000

**Electronic total energy**: -4.321 eV/atom
**Mass density**: 4.6 g/cm3

---

Computed, not measured: a geometry-optimized Mg2SiNi5B2 structure at the PBE level of DFT.

Unit cell a=8.6759 b=8.6759 c=2.8910 alpha=90.00 beta=90.00 gamma=90.00
Space group P4/mbm (No. 127)
One atom of each set of equivalent atoms:
Mg1 0.1766 0.3234 0.0000
Si1 0.0000 0.0000 0.0000
Ni1 0.0000 0.5000 0.5000
Ni2 0.0670 0.7835 0.5000
B1 0.1215 0.6215 0.0000

**Electronic total energy**: -5.480 eV/atom
**Mass density**: 6.0 g/cm3
**Energy relative to the elements, uncorrected**: -0.392 eV per atom

---

Computed, not measured: a geometry-optimized Sm2MgNi12B3 structure at the PBE level of DFT.

Unit cell a=6.9847 b=6.9847 c=17.4185 alpha=90.00 beta=90.00 gamma=120.00
Space group R-3m (No. 166, hexagonal axes)
One atom of each set of equivalent atoms:
Sm1 0.0000 0.0000 0.0947
Mg1 0.0000 0.0000 0.5000
Ni1 0.0729 0.5365 0.3068
Ni2 0.0850 0.5425 0.8937
B1 0.0000 0.5000 0.0000

**Electronic total energy**: -5.647 eV/atom
**Mass density**: 7.2 g/cm3

---

Computed, not measured: a geometry-optimized MgNiSn2B structure at the PBE level of DFT.

Unit cell a=5.2669 b=5.2669 c=4.4808 alpha=90.00 beta=90.00 gamma=90.00
Space group P4/mmm (No. 123)
One atom of each set of equivalent atoms:
Mg1 0.0000 0.0000 0.0000
Ni1 0.0000 0.0000 0.5000
Sn1 0.0000 0.5000 0.0000
B1 0.5000 0.5000 0.5000

**Electronic total energy**: -2.853 eV/atom
**Mass density**: 4.4 g/cm3